No. 1
# Te3AsPd PBE optimized geometry
# polymorph energy (0 for the lowest one) = 0.249 eV/atom
data_Te3AsPd
_chemical_formula_sum 'Te3 As1 Pd1'
_cell_length_a 5.369
_cell_length_b 5.369
_cell_length_c 5.369
_cell_angle_alpha 90.00
_cell_angle_beta 90.00
_cell_angle_gamma 90.00
_symmetry_space_group_name_H-M 'P m -3 m'
_symmetry_Int_Tables_number 221
_symmetry_space_group_name_Hall '-P 4 2 3'
loop_
_atom_site_label
_atom_site_type_symbol
_atom_site_fract_x
_atom_site_fract_y
_atom_site_fract_z
_atom_site_occupancy
Te1 Te 0.000 0.000 0.500 1
As1 As 0.000 0.000 0.000 1
Pd1 Pd 0.500 0.500 0.500 1



No. 2
# TeAs2Pd2 PBE optimized geometry
# polymorph energy (0 for the lowest one) = 0.000 eV/atom
data_TeAs2Pd2
_chemical_formula_sum 'Te2 As4 Pd4'
_cell_length_a 4.070
_cell_length_b 4.070
_cell_length_c 12.023
_cell_angle_alpha 90.00
_cell_angle_beta 90.00
_cell_angle_gamma 90.00
_symmetry_space_group_name_H-M 'I 4/m m m'
_symmetry_Int_Tables_number 139
_symmetry_space_group_name_Hall '-I 4 2'
loop_
_atom_site_label
_atom_site_type_symbol
_atom_site_fract_x
_atom_site_fract_y
_atom_site_fract_z
_atom_site_occupancy
Te1 Te 0.000 0.000 0.000 1
As1 As 0.000 0.500 0.250 1
Pd1 Pd 0.000 0.000 0.386 1



No. 3
# TeAsPd2 PBE optimized geometry
# polymorph energy (0 for the lowest one) = 0.172 eV/atom
data_TeAsPd2
_chemical_formula_sum 'Te4 As4 Pd8'
_cell_length_a 6.653
_cell_length_b 6.653
_cell_length_c 6.653
_cell_angle_alpha 90.00
_cell_angle_beta 90.00
_cell_angle_gamma 90.00
_symmetry_space_group_name_H-M 'F m -3 m'
_symmetry_Int_Tables_number 225
_symmetry_space_group_name_Hall '-F 4 2 3'
loop_
_atom_site_label
_atom_site_type_symbol
_atom_site_fract_x
_atom_site_fract_y
_atom_site_fract_z
_atom_site_occupancy
Te1 Te 0.000 0.000 0.000 1
As1 As 0.000 0.000 0.500 1
Pd1 Pd 0.250 0.250 0.250 1



No. 4
# TeAs2Pd2 PBE optimized geometry
# polymorph energy (0 for the lowest one) = 0.057 eV/atom
data_TeAs2Pd2
_chemical_formula_sum 'Te2 As4 Pd4'
_cell_length_a 4.318
_cell_length_b 4.318
_cell_length_c 10.859
_cell_angle_alpha 90.00
_cell_angle_beta 90.00
_cell_angle_gamma 90.00
_symmetry_space_group_name_H-M 'I 4/m m m'
_symmetry_Int_Tables_number 139
_symmetry_space_group_name_Hall '-I 4 2'
loop_
_atom_site_label
_atom_site_type_symbol
_atom_site_fract_x
_atom_site_fract_y
_atom_site_fract_z
_atom_site_occupancy
Te1 Te 0.000 0.000 0.000 1
As1 As 0.000 0.000 0.377 1
Pd1 Pd 0.000 0.500 0.250 1



No. 5
Computed, not measured: a relaxed Te4AsPd crystal at the PBE level of DFT.

```
data_Te4AsPd
_chemical_formula_sum 'Te4 As1 Pd1'
_cell_length_a 6.576
_cell_length_b 4.082
_cell_length_c 6.734
_cell_angle_alpha 90.00
_cell_angle_beta 113.16
_cell_angle_gamma 90.00
_symmetry_space_group_name_H-M 'P 1 2/m 1'
_symmetry_Int_Tables_number 10
loop_
_symmetry_equiv_pos_as_xyz
'x,y,z'
'-x,-y,-z'
'-x,y,-z'
'x,-y,z'
loop_
_atom_site_label
_atom_site_type_symbol
_atom_site_fract_x
_atom_site_fract_y
_atom_site_fract_z
_atom_site_occupancy
Te1 Te 0.227 0.000 0.219 1
Te2 Te 0.246 0.500 0.758 1
As1 As 0.500 0.500 0.500 1
Pd1 Pd 0.500 0.000 0.000 1
```



No. 6
# TeAs2Pd2 PBE optimized geometry
# polymorph energy (0 for the lowest one) = 0.103 eV/atom
data_TeAs2Pd2
_chemical_formula_sum 'Te2 As4 Pd4'
_cell_length_a 8.041
_cell_length_b 8.041
_cell_length_c 3.011
_cell_angle_alpha 90.00
_cell_angle_beta 90.00
_cell_angle_gamma 90.00
_symmetry_space_group_name_H-M 'P 4/m b m'
_symmetry_Int_Tables_number 127
_symmetry_space_group_name_Hall '-P 4 2ab'
loop_
_atom_site_label
_atom_site_type_symbol
_atom_site_fract_x
_atom_site_fract_y
_atom_site_fract_z
_atom_site_occupancy
Te1 Te 0.000 0.000 0.000 1
As1 As 0.155 0.345 0.000 1
Pd1 Pd 0.124 0.624 0.500 1



No. 7
# TeAsPd2 PBE optimized geometry
# polymorph energy (0 for the lowest one) = 0.000 eV/atom
data_TeAsPd2
_chemical_formula_sum 'Te4 As4 Pd8'
_cell_length_a 8.316
_cell_length_b 6.562
_cell_length_c 5.910
_cell_angle_alpha 90.00
_cell_angle_beta 97.27
_cell_angle_gamma 90.00
_symmetry_space_group_name_H-M 'P 1 21/c 1'
_symmetry_Int_Tables_number 14
loop_
_symmetry_equiv_pos_as_xyz
'x,y,z'
'-x,-y,-z'
'-x,y+1/2,-z+1/2'
'x,-y+1/2,z+1/2'
loop_
_atom_site_label
_atom_site_type_symbol
_atom_site_fract_x
_atom_site_fract_y
_atom_site_fract_z
_atom_site_occupancy
Te1 Te 0.132 0.082 0.229 1
As1 As 0.396 0.578 0.175 1
Pd1 Pd 0.182 0.714 0.428 1
Pd2 Pd 0.389 0.197 0.989 1



No. 8
# TeAsPd2 PBE optimized geometry
# polymorph energy (0 for the lowest one) = 0.117 eV/atom
data_TeAsPd2
_chemical_formula_sum 'Te1 As1 Pd2'
_cell_length_a 4.1703
_cell_length_b 4.1703
_cell_length_c 5.8162
_cell_angle_alpha 90.00
_cell_angle_beta 90.00
_cell_angle_gamma 120.00
_symmetry_space_group_name_H-M 'P 3 m 1'
_symmetry_Int_Tables_number 156
loop_
_symmetry_equiv_pos_as_xyz
'x,y,z'
'-y,x-y,z'
'-x+y,-x,z'
'-y,-x,z'
'-x+y,y,z'
'x,x-y,z'
loop_
_atom_site_label
_atom_site_type_symbol
_atom_site_fract_x
_atom_site_fract_y
_atom_site_fract_z
_atom_site_occupancy
Te1 Te 0.0000 0.0000 0.0000 1
As1 As 0.6667 0.3333 0.4625 1
Pd1 Pd 0.0000 0.0000 0.5462 1
Pd2 Pd 0.3333 0.6667 0.2299 1



No. 9
# TeAsPd4 PBE optimized geometry
# polymorph energy (0 for the lowest one) = 0.053 eV/atom
data_TeAsPd4
_chemical_formula_sum 'Te2 As2 Pd8'
_cell_length_a 5.537
_cell_length_b 7.242
_cell_length_c 5.607
_cell_angle_alpha 90.00
_cell_angle_beta 106.43
_cell_angle_gamma 90.00
_symmetry_space_group_name_H-M 'C 1 2/m 1'
_symmetry_Int_Tables_number 12
loop_
_symmetry_equiv_pos_as_xyz
'x,y,z'
'-x,-y,-z'
'-x,y,-z'
'x,-y,z'
'x+1/2,y+1/2,z'
'-x+1/2,-y+1/2,-z'
'-x+1/2,y+1/2,-z'
'x+1/2,-y+1/2,z'
loop_
_atom_site_label
_atom_site_type_symbol
_atom_site_fract_x
_atom_site_fract_y
_atom_site_fract_z
_atom_site_occupancy
Te1 Te 0.000 0.000 0.000 1
As1 As 0.000 0.500 0.500 1
Pd1 Pd 0.238 0.204 0.735 1



No. 10
Computed, not measured: a relaxed Te3AsPd12 crystal at the PBE level of DFT.

```
data_Te3AsPd12
_chemical_formula_sum 'Te3 As1 Pd12'
_cell_length_a 4.043
_cell_length_b 4.043
_cell_length_c 16.534
_cell_angle_alpha 90.00
_cell_angle_beta 90.00
_cell_angle_gamma 90.00
_symmetry_space_group_name_H-M 'P 4/m m m'
_symmetry_Int_Tables_number 123
_symmetry_space_group_name_Hall '-P 4 2'
loop_
_atom_site_label
_atom_site_type_symbol
_atom_site_fract_x
_atom_site_fract_y
_atom_site_fract_z
_atom_site_occupancy
Te1 Te 0.000 0.000 0.000 1
Te2 Te 0.000 0.000 0.246 1
As1 As 0.000 0.000 0.500 1
Pd1 Pd 0.000 0.500 0.132 1
Pd2 Pd 0.000 0.500 0.388 1
Pd3 Pd 0.500 0.500 0.000 1
Pd4 Pd 0.500 0.500 0.267 1
Pd5 Pd 0.500 0.500 0.500 1
```



No. 11
Computed, not measured: a relaxed Te2AsPd3 crystal at the PBE level of DFT.

```
data_Te2AsPd3
_chemical_formula_sum 'Te8 As4 Pd12'
_cell_length_a 6.436
_cell_length_b 12.359
_cell_length_c 6.665
_cell_angle_alpha 90.00
_cell_angle_beta 113.79
_cell_angle_gamma 90.00
_symmetry_space_group_name_H-M 'C 1 2/c 1'
_symmetry_Int_Tables_number 15
loop_
_symmetry_equiv_pos_as_xyz
'x,y,z'
'-x,-y,-z'
'-x,y,-z+1/2'
'x,-y,z+1/2'
'x+1/2,y+1/2,z'
'-x+1/2,-y+1/2,-z'
'-x+1/2,y+1/2,-z+1/2'
'x+1/2,-y+1/2,z+1/2'
loop_
_atom_site_label
_atom_site_type_symbol
_atom_site_fract_x
_atom_site_fract_y
_atom_site_fract_z
_atom_site_occupancy
Te1 Te 0.000 0.073 0.250 1
Te2 Te 0.000 0.226 0.750 1
As1 As 0.000 0.400 0.250 1
Pd1 Pd 0.184 0.427 0.968 1
Pd2 Pd 0.250 0.250 0.500 1
```



No. 12
Computed, not measured: a relaxed TeAsPd crystal at the PBE level of DFT.

```
data_TeAsPd
_chemical_formula_sum 'Te1 As1 Pd1'
_cell_length_a 3.9371
_cell_length_b 3.9371
_cell_length_c 4.8965
_cell_angle_alpha 90.00
_cell_angle_beta 90.00
_cell_angle_gamma 120.00
_symmetry_space_group_name_H-M 'P 3 m 1'
_symmetry_Int_Tables_number 156
loop_
_symmetry_equiv_pos_as_xyz
'x,y,z'
'-y,x-y,z'
'-x+y,-x,z'
'-y,-x,z'
'-x+y,y,z'
'x,x-y,z'
loop_
_atom_site_label
_atom_site_type_symbol
_atom_site_fract_x
_atom_site_fract_y
_atom_site_fract_z
_atom_site_occupancy
Te1 Te 0.0000 0.0000 0.0000 1
As1 As 0.3333 0.6667 0.5445 1
Pd1 Pd 0.6667 0.3333 0.3037 1
```



Result set for total DFT energy (no corrections): -15.43, -46.58, -75.38, -46.01, -22.98, -45.55, -78.13, -19.06, -60.33, -79.02, -111.99, -13.60 eV for the cell shown, one per record in the order listed.